{
  "formula": "YBeBr2",
  "functional": "GGA-PBE",
  "state": "optimized geometry",
  "spacegroup": "No. 35",
  "e_above_lowest_polymorph_ev_per_atom": 0.0349,
  "formation_energy_uncorrected_ev_per_atom": -0.665,
  "e_tot_ev_per_atom": -4.05,
  "lattice": [[3.6892, -0.0040, 0.0000], [-1.7194, 3.2640, 0.0000], [0.0000, 0.0000, 9.2077]],
  "species": ["Br", "Br", "Y", "Be"],
  "frac_coords": [[0.5000, 0.5000, 0.3133], [0.0000, 0.0000, 0.8909], [0.0000, 0.0000, 0.5417], [0.5000, 0.5000, 0.7541]]
}

---

{
  "formula": "YBeBr2",
  "functional": "GGA-PBE",
  "state": "optimized geometry",
  "spacegroup": "No. 6",
  "e_above_lowest_polymorph_ev_per_atom": 0.0000,
  "formation_energy_uncorrected_ev_per_atom": -0.700,
  "e_tot_ev_per_atom": -4.08,
  "lattice": [[-2.3592, -1.8805, -1.9523], [1.9033, -3.0856, 0.6722], [-4.7001, -1.3596, 6.9893]],
  "species": ["Y", "Be", "Br", "Br"],
  "frac_coords": [[0.0000, 0.3755, 0.5580], [0.5000, 0.8756, 0.7397], [0.0000, 0.8752, 0.8966], [0.5000, 0.3738, 0.3057]]
}

---

{
  "formula": "Y2BeBr",
  "functional": "GGA-PBE",
  "state": "optimized geometry",
  "spacegroup": "No. 47",
  "e_above_lowest_polymorph_ev_per_atom": 0.0548,
  "formation_energy_uncorrected_ev_per_atom": -0.454,
  "e_tot_ev_per_atom": -5.04,
  "lattice": [[3.4565, 0.0000, 0.0000], [0.0000, 3.5085, -0.0295], [0.0000, 0.0649, 8.1952]],
  "species": ["Y", "Y", "Br", "Be"],
  "frac_coords": [[0.0000, 0.7498, 0.4484], [0.0000, 0.7502, 0.0516], [0.5000, 0.7500, 0.7500], [0.5000, 0.2500, 0.2500]]
}

---

{
  "formula": "YBeBr2",
  "functional": "GGA-PBE",
  "state": "optimized geometry",
  "spacegroup": "No. 166",
  "e_above_lowest_polymorph_ev_per_atom": 0.4295,
  "formation_energy_uncorrected_ev_per_atom": -0.270,
  "e_tot_ev_per_atom": -3.65,
  "lattice": [[2.0412, 0.0000, 8.7878], [-1.0206, 1.7677, 8.7878], [-1.0206, -1.7677, 8.7878]],
  "species": ["Br", "Br", "Be", "Y"],
  "frac_coords": [[0.1139, 0.1139, 0.1139], [0.8861, 0.8861, 0.8861], [0.5000, 0.5000, 0.5000], [0.0000, 0.0000, 0.0000]]
}

---

{
  "formula": "YBeBr2",
  "functional": "GGA-PBE",
  "state": "optimized geometry",
  "spacegroup": "No. 119",
  "e_above_lowest_polymorph_ev_per_atom": 0.4717,
  "formation_energy_uncorrected_ev_per_atom": -0.228,
  "e_tot_ev_per_atom": -3.61,
  "lattice": [[6.0710, 0.0036, 0.0000], [3.2621, 5.1202, 0.0000], [-4.6666, -2.5619, 2.9184]],
  "species": ["Br", "Br", "Y", "Be"],
  "frac_coords": [[0.2500, 0.7500, 0.5000], [0.0000, 0.0000, 0.0000], [0.5000, 0.5000, 0.0000], [0.7500, 0.2500, 0.5000]]
}

---

{
  "formula": "BeZn2Br",
  "functional": "GGA-PBE",
  "state": "optimized geometry",
  "spacegroup": "No. 123",
  "e_above_lowest_polymorph_ev_per_atom": 0.5504,
  "formation_energy_uncorrected_ev_per_atom": 0.475,
  "e_tot_ev_per_atom": -1.51,
  "lattice": [[6.0338, 0.0000, 0.0000], [0.0000, 3.5745, 0.0000], [0.0000, 0.0000, 3.5745]],
  "species": ["Be", "Zn", "Zn", "Br"],
  "frac_coords": [[0.5000, 0.5000, 0.0000], [0.0000, 0.0000, 0.0000], [0.0000, 0.5000, 0.5000], [0.5000, 0.0000, 0.5000]]
}

---

{
  "formula": "BeZn2Br",
  "functional": "GGA-PBE",
  "state": "optimized geometry",
  "spacegroup": "No. 47",
  "e_above_lowest_polymorph_ev_per_atom": 0.2966,
  "formation_energy_uncorrected_ev_per_atom": 0.221,
  "e_tot_ev_per_atom": -1.77,
  "lattice": [[3.2068, 0.0000, 0.0000], [0.0000, 2.8600, -0.0075], [0.0000, 0.0243, 7.4825]],
  "species": ["Zn", "Zn", "Br", "Be"],
  "frac_coords": [[0.0000, 0.7491, 0.4345], [0.0000, 0.7509, 0.0655], [0.5000, 0.7500, 0.7500], [0.5000, 0.2500, 0.2500]]
}

---

{
  "formula": "BeZn2Br",
  "functional": "GGA-PBE",
  "state": "optimized geometry",
  "spacegroup": "No. 12",
  "e_above_lowest_polymorph_ev_per_atom": 0.5206,
  "formation_energy_uncorrected_ev_per_atom": 0.445,
  "e_tot_ev_per_atom": -1.54,
  "lattice": [[4.8318, 0.1516, -0.1623], [-2.3188, 4.2418, -0.1623], [0.5374, 0.9395, 3.4523]],
  "species": ["Zn", "Zn", "Be", "Br"],
  "frac_coords": [[0.0000, 0.0000, 0.0000], [0.5000, 0.5000, 0.0000], [0.5000, 0.0000, 0.5000], [0.0000, 0.5000, 0.5000]]
}

---

{
  "formula": "Be2ZnBr2",
  "functional": "GGA-PBE",
  "state": "optimized geometry",
  "spacegroup": "No. 139",
  "e_above_lowest_polymorph_ev_per_atom": 0.2970,
  "formation_energy_uncorrected_ev_per_atom": 0.302,
  "e_tot_ev_per_atom": -2.11,
  "lattice": [[-2.9310, 2.2570, -2.8034], [-0.2074, -3.7154, -2.7744], [-5.1399, -2.3457, -0.3572]],
  "species": ["Be", "Be", "Br", "Br", "Zn"],
  "frac_coords": [[0.3821, 0.3821, 0.2357], [0.6179, 0.6179, 0.7643], [0.7500, 0.2500, 0.5000], [0.2500, 0.7500, 0.5000], [0.0000, 0.0000, 0.0000]]
}

---

{
  "formula": "BeZnBr",
  "functional": "GGA-PBE",
  "state": "optimized geometry",
  "spacegroup": "No. 156",
  "e_above_lowest_polymorph_ev_per_atom": 0.0000,
  "formation_energy_uncorrected_ev_per_atom": 0.126,
  "e_tot_ev_per_atom": -2.10,
  "lattice": [[-1.1849, -1.1919, 2.9718], [-1.8588, -0.3491, -2.8423], [2.5988, -5.2218, -1.0581]],
  "species": ["Be", "Br", "Zn"],
  "frac_coords": [[0.0000, 0.0000, 0.0041], [0.6667, 0.3333, 0.2379], [0.3333, 0.6667, 0.7580]]
}

---

{
  "formula": "BeZn2Br",
  "functional": "GGA-PBE",
  "state": "optimized geometry",
  "spacegroup": "No. 119",
  "e_above_lowest_polymorph_ev_per_atom": 0.6106,
  "formation_energy_uncorrected_ev_per_atom": 0.535,
  "e_tot_ev_per_atom": -1.45,
  "lattice": [[6.3367, -0.0274, 0.0000], [4.1891, 4.7546, 0.0000], [-5.2629, -2.3636, 2.6211]],
  "species": ["Zn", "Zn", "Br", "Be"],
  "frac_coords": [[0.0000, 0.0000, 0.0000], [0.2500, 0.7500, 0.5000], [0.7500, 0.2500, 0.5000], [0.5000, 0.5000, 0.0000]]
}

---

{
  "formula": "Be2ZnBr",
  "functional": "GGA-PBE",
  "state": "optimized geometry",
  "spacegroup": "No. 6",
  "e_above_lowest_polymorph_ev_per_atom": 0.2687,
  "formation_energy_uncorrected_ev_per_atom": 0.307,
  "e_tot_ev_per_atom": -2.29,
  "lattice": [[3.0314, 0.0000, 0.0000], [0.0000, 3.2868, 0.0253], [0.0000, 1.3332, 7.7297]],
  "species": ["Be", "Be", "Br", "Zn"],
  "frac_coords": [[0.5000, 0.4680, 0.1970], [0.0000, 0.0489, 0.0141], [0.0000, 0.3837, 0.3952], [0.5000, 0.5994, 0.8937]]
}